Record 1
A geometry-optimized RbNiH2 structure. Source: the Open Quantum Materials Database, functional PBE.

Cell and atoms, written as POSCAR:
```
RbNiH2
1.0
3.4175 0.0000 0.0000
0.0000 3.4175 0.0000
0.0000 0.0000 4.9199
Rb Ni H
1 1 2
direct
0.0000 0.0000 0.0000
0.5000 0.5000 0.5000
0.0000 0.0000 0.5000
0.5000 0.5000 0.0000
```

Output
Its symmetry is P4/mmm.


Record 2
A geometry-optimized RbMgPd structure. Source: the Open Quantum Materials Database, functional PBE.

Cell and atoms, written as POSCAR:
```
RbMgPd
1.0
7.2558 0.0000 0.0000
0.0000 7.2558 0.0000
0.0000 0.0000 7.2558
Rb Mg Pd
4 4 4
direct
0.0000 0.0000 0.0000
0.0000 0.5000 0.5000
0.5000 0.0000 0.5000
0.5000 0.5000 0.0000
0.0000 0.0000 0.5000
0.0000 0.5000 0.0000
0.5000 0.0000 0.0000
0.5000 0.5000 0.5000
0.2500 0.2500 0.7500
0.2500 0.7500 0.2500
0.7500 0.2500 0.2500
0.7500 0.7500 0.7500
```

Output
Its symmetry is F-43m.


Record 3
A geometry-optimized LaBIr structure. Source: the Open Quantum Materials Database, functional PBE.

Cell and atoms, written as POSCAR:
```
LaBIr
1.0
6.4933 0.0000 0.0000
0.0000 6.4933 0.0000
0.0000 0.0000 6.4933
La B Ir
4 4 4
direct
0.0000 0.0000 0.0000
0.0000 0.5000 0.5000
0.5000 0.0000 0.5000
0.5000 0.5000 0.0000
0.2500 0.2500 0.7500
0.2500 0.7500 0.2500
0.7500 0.2500 0.2500
0.7500 0.7500 0.7500
0.2500 0.2500 0.2500
0.2500 0.7500 0.7500
0.7500 0.2500 0.7500
0.7500 0.7500 0.2500
```

Output
Its excess energy over the best structure of this formula in the dataset is 622 meV per atom. Its symmetry is F-43m.


Record 4
A geometry-optimized TlGeAuO3 structure. Source: the Open Quantum Materials Database, functional PBE.

Cell and atoms, written as POSCAR:
```
TlGeAuO3
1.0
11.6521 0.0000 0.0000
0.0000 3.0290 0.0000
0.0000 0.0000 10.2855
Tl Ge Au O
4 4 4 12
direct
0.2381 0.2500 0.1217
0.2619 0.7500 0.6217
0.7381 0.2500 0.3783
0.7619 0.7500 0.8783
0.0285 0.2500 0.3753
0.4715 0.7500 0.8753
0.5285 0.2500 0.1247
0.9715 0.7500 0.6247
0.0320 0.2500 0.9062
0.4680 0.7500 0.4062
0.5320 0.2500 0.5938
0.9680 0.7500 0.0938
0.0758 0.7500 0.7656
0.0767 0.2500 0.5505
0.1159 0.7500 0.3237
0.3841 0.2500 0.8237
0.4233 0.7500 0.0505
0.4242 0.2500 0.2656
0.5758 0.7500 0.7344
0.5767 0.2500 0.9495
0.6159 0.7500 0.1763
0.8841 0.2500 0.6763
0.9233 0.7500 0.4495
0.9242 0.2500 0.2344
```

Output
Its symmetry is Pnma.


Record 5
A geometry-optimized BaCoPd2 structure. Source: the Open Quantum Materials Database, functional PBE.

Cell and atoms, written as POSCAR:
```
BaCoPd2
1.0
6.8089 0.0000 0.0000
0.0000 6.8089 0.0000
0.0000 0.0000 6.8089
Ba Co Pd
4 4 8
direct
0.0000 0.0000 0.0000
0.0000 0.5000 0.5000
0.5000 0.0000 0.5000
0.5000 0.5000 0.0000
0.2500 0.2500 0.2500
0.2500 0.7500 0.7500
0.7500 0.2500 0.7500
0.7500 0.7500 0.2500
0.0000 0.0000 0.5000
0.0000 0.5000 0.0000
0.2500 0.2500 0.7500
0.2500 0.7500 0.2500
0.5000 0.0000 0.0000
0.5000 0.5000 0.5000
0.7500 0.2500 0.2500
0.7500 0.7500 0.7500
```

Output
Its symmetry is F-43m.


Record 6
A geometry-optimized ErSe structure. Source: the Open Quantum Materials Database, functional PBE.

Cell and atoms, written as POSCAR:
```
ErSe
1.0
5.6930 0.0000 0.0000
0.0000 5.6930 0.0000
0.0000 0.0000 5.6930
Er Se
4 4
direct
0.0000 0.0000 0.0000
0.0000 0.5000 0.5000
0.5000 0.0000 0.5000
0.5000 0.5000 0.0000
0.0000 0.0000 0.5000
0.0000 0.5000 0.0000
0.5000 0.0000 0.0000
0.5000 0.5000 0.5000
```

Output
Its symmetry is Fm-3m.


Record 7
A geometry-optimized Pa2HgI8 structure. Source: the Open Quantum Materials Database, functional PBE.

Cell and atoms, written as POSCAR:
```
Pa2HgI8
1.0
4.9253 -6.8997 0.0000
4.9253 6.8997 0.0000
-0.1108 0.0000 9.8971
Pa Hg I
2 1 8
direct
0.1147 0.1147 0.1893
0.8853 0.8853 0.8107
0.0000 0.0000 0.5000
0.1285 0.7209 0.7422
0.1961 0.1961 0.8951
0.2791 0.8715 0.2578
0.3915 0.3915 0.2941
0.6085 0.6085 0.7059
0.7209 0.1285 0.7422
0.8039 0.8039 0.1049
0.8715 0.2791 0.2578
```

Output
Its symmetry is C2/m.


Record 8
A geometry-optimized Ba2YPtN6 structure. Source: the Open Quantum Materials Database, functional PBE.

Cell and atoms, written as POSCAR:
```
Ba2YPtN6
1.0
6.0268 0.0000 0.0000
3.0108 5.2262 0.0000
3.0118 1.7393 4.9320
Ba Y Pt N
2 1 1 6
direct
0.2500 0.2499 0.2502
0.7500 0.7501 0.7498
0.0000 0.0000 0.0000
0.5000 0.5000 0.5000
0.2604 0.2720 0.7374
0.2670 0.7427 0.7250
0.2710 0.7307 0.2613
0.7290 0.2693 0.7387
0.7330 0.2573 0.2750
0.7396 0.7280 0.2626
```

Output
Its symmetry is P-1.


It is found that the raw total energy values, taken in the order of the records, are -10.10, -28.08, -68.81, -122.09, -71.84, -45.72, -40.16, -62.85 eV/cell.